Density functional theory data (PBE) for a relaxed K4Ag5Se6 crystal.

abc: 10.298 10.298 17.690
angles: 90.00 90.00 154.19
Fractional coordinates of all 30 atoms:
K  0.011  0.989  0.619
K  0.011  0.989  0.881
K  0.175  0.825  0.069
K  0.175  0.825  0.431
K  0.825  0.175  0.569
K  0.825  0.175  0.931
K  0.989  0.011  0.119
K  0.989  0.011  0.381
Ag  0.140  0.860  0.750
Ag  0.287  0.713  0.750
Ag  0.354  0.646  0.119
Ag  0.354  0.646  0.381
Ag  0.432  0.568  0.750
Ag  0.568  0.432  0.250
Ag  0.646  0.354  0.619
Ag  0.646  0.354  0.881
Ag  0.713  0.287  0.250
Ag  0.860  0.140  0.250
Se  0.129  0.871  0.250
Se  0.213  0.787  0.619
Se  0.213  0.787  0.881
Se  0.438  0.562  0.250
Se  0.439  0.561  0.506
Se  0.439  0.561  0.994
Se  0.561  0.439  0.006
Se  0.561  0.439  0.494
Se  0.562  0.438  0.750
Se  0.787  0.213  0.119
Se  0.787  0.213  0.381
Se  0.871  0.129  0.750

For the density of states at the Fermi level, the calculation gives 6.51 states/eV/f.u. The calculation puts the total magnetization at 0.00 μB per formula unit. The formation energy from raw total energies comes out at -558 meV/atom. As for the space group: No. 63. As for the density: 4.75 g/cm3.